First-principles (GGA-PBE) data for a geometry-optimized RbCO structure, as listed in Alexandria via LeMat-Bulk.

Cell and atoms, written as CIF:
```
data_RbCO
_chemical_formula_sum 'Rb4 C4 O4'
_symmetry_space_group_name_H-M 'I m m m'
_symmetry_Int_Tables_number 71
_symmetry_space_group_name_Hall '-I 2 2'
_cell_length_a 3.493
_cell_length_b 4.326
_cell_length_c 18.807
_cell_angle_alpha 90.00
_cell_angle_beta 90.00
_cell_angle_gamma 90.00
loop_
_atom_site_label
_atom_site_fract_x
_atom_site_fract_y
_atom_site_fract_z
Rb1 0.000 0.000 0.133
C1 0.185 0.500 0.000
O1 0.000 0.000 0.444
```

Properties
- VASP energy (eV per atom) = -5.106
- formation energy without anion corrections (eV/atom) = -0.056
- M_tot (μB per formula unit) = 0.000

***

First-principles (GGA-PBE) data for a geometry-optimized RbC2O2 structure, as listed in Alexandria via LeMat-Bulk.

Cell and atoms, written as CIF:
```
data_RbC2O2
_chemical_formula_sum 'Rb4 C8 O8'
_symmetry_space_group_name_H-M 'C 1 2/m 1'
_symmetry_Int_Tables_number 12
_cell_length_a 12.007
_cell_length_b 7.023
_cell_length_c 4.338
_cell_angle_alpha 90.00
_cell_angle_beta 93.29
_cell_angle_gamma 90.00
loop_
_symmetry_equiv_pos_as_xyz
'x,y,z'
'-x,-y,-z'
'-x,y,-z'
'x,-y,z'
'x+1/2,y+1/2,z'
'-x+1/2,-y+1/2,-z'
'-x+1/2,y+1/2,-z'
'x+1/2,-y+1/2,z'
loop_
_atom_site_label
_atom_site_fract_x
_atom_site_fract_y
_atom_site_fract_z
Rb1 0.168 0.000 0.201
C1 0.054 0.395 0.593
O1 0.119 0.268 0.704
```

Properties
- VASP energy (eV per atom) = -6.910
- formation energy without anion corrections (eV/atom) = -1.044
- M_tot (μB per formula unit) = 0.000

***

First-principles (GGA-PBE) data for a geometry-optimized Rb4CO4 structure, as listed in Alexandria via LeMat-Bulk.

Cell and atoms, written as CIF:
```
data_Rb4CO4
_chemical_formula_sum 'Rb12 C3 O12'
_symmetry_space_group_name_H-M 'R 3 m'
_symmetry_Int_Tables_number 160
_symmetry_space_group_name_Hall 'R 3 -2"'
_cell_length_a 8.0486
_cell_length_b 8.0486
_cell_length_c 10.3669
_cell_angle_alpha 90.00
_cell_angle_beta 90.00
_cell_angle_gamma 120.00
loop_
_atom_site_label
_atom_site_fract_x
_atom_site_fract_y
_atom_site_fract_z
Rb1 0.0000 0.0000 0.0000
Rb2 0.1825 0.3649 0.3777
C1 0.0000 0.0000 0.2684
O1 0.0000 0.0000 0.4084
O2 0.1958 0.0979 0.2223
```

Properties
- energy above the lowest structure with this stoichiometry (meV/atom) = 92
- VASP energy (eV per atom) = -4.855
- formation energy without anion corrections (eV/atom) = -1.196
- M_tot (μB per formula unit) = 0.167

***

First-principles (GGA-PBE) data for a geometry-optimized Rb4CO4 structure, as listed in Alexandria via LeMat-Bulk.

Cell and atoms, written as CIF:
```
data_Rb4CO4
_chemical_formula_sum 'Rb4 C1 O4'
_symmetry_space_group_name_H-M 'P -4'
_symmetry_Int_Tables_number 81
_cell_length_a 6.903
_cell_length_b 6.903
_cell_length_c 5.048
_cell_angle_alpha 90.00
_cell_angle_beta 90.00
_cell_angle_gamma 90.00
loop_
_symmetry_equiv_pos_as_xyz
'x,y,z'
'y,-x,-z'
'-x,-y,z'
'-y,x,-z'
loop_
_atom_site_label
_atom_site_fract_x
_atom_site_fract_y
_atom_site_fract_z
Rb1 0.219 0.752 0.170
C1 0.000 0.000 0.500
O1 0.114 0.873 0.664
```

Properties
- energy above the lowest structure with this stoichiometry (meV/atom) = 76
- VASP energy (eV per atom) = -4.870
- formation energy without anion corrections (eV/atom) = -1.211
- M_tot (μB per formula unit) = 0.185

***

First-principles (GGA-PBE) data for a geometry-optimized Rb4CO4 structure, as listed in Alexandria via LeMat-Bulk.

Cell and atoms, written as CIF:
```
data_Rb4CO4
_chemical_formula_sum 'Rb8 C2 O8'
_symmetry_space_group_name_H-M 'P 42/n'
_symmetry_Int_Tables_number 86
_cell_length_a 7.750
_cell_length_b 7.750
_cell_length_c 5.654
_cell_angle_alpha 90.00
_cell_angle_beta 90.00
_cell_angle_gamma 90.00
loop_
_symmetry_equiv_pos_as_xyz
'x,y,z'
'-x,-y,-z'
'-y,x+1/2,z+1/2'
'y,-x+1/2,-z+1/2'
'-x+1/2,-y+1/2,z'
'x+1/2,y+1/2,-z'
'y+1/2,-x,z+1/2'
'-y+1/2,x,-z+1/2'
loop_
_atom_site_label
_atom_site_fract_x
_atom_site_fract_y
_atom_site_fract_z
Rb1 0.028 0.748 0.102
C1 0.250 0.250 0.250
O1 0.096 0.251 0.395
```

Properties
- energy above the lowest structure with this stoichiometry (meV/atom) = 5
- VASP energy (eV per atom) = -4.941
- formation energy without anion corrections (eV/atom) = -1.282
- M_tot (μB per formula unit) = 0.000

***

First-principles (GGA-PBE) data for a geometry-optimized Rb2CO3 structure, as listed in Alexandria via LeMat-Bulk.

Cell and atoms, written as CIF:
```
data_Rb2CO3
_chemical_formula_sum 'Rb16 C8 O24'
_symmetry_space_group_name_H-M 'F m m m'
_symmetry_Int_Tables_number 69
_symmetry_space_group_name_Hall '-F 2 2'
_cell_length_a 7.783
_cell_length_b 11.541
_cell_length_c 12.119
_cell_angle_alpha 90.00
_cell_angle_beta 90.00
_cell_angle_gamma 90.00
loop_
_atom_site_label
_atom_site_fract_x
_atom_site_fract_y
_atom_site_fract_z
Rb1 0.241 0.000 0.000
Rb2 0.250 0.250 0.250
C1 0.000 0.000 0.219
O1 0.000 0.000 0.326
O2 0.000 0.098 0.163
```

Properties
- VASP energy (eV per atom) = -6.036
- formation energy without anion corrections (eV/atom) = -1.697
- M_tot (μB per formula unit) = 0.000

***

First-principles (GGA-PBE) data for a geometry-optimized Rb4CO4 structure, as listed in Alexandria via LeMat-Bulk.

Cell and atoms, written as CIF:
```
data_Rb4CO4
_chemical_formula_sum 'Rb8 C2 O8'
_symmetry_space_group_name_H-M 'A m m 2'
_symmetry_Int_Tables_number 38
_cell_length_a 6.147
_cell_length_b 7.509
_cell_length_c 12.097
_cell_angle_alpha 90.00
_cell_angle_beta 90.00
_cell_angle_gamma 90.00
loop_
_symmetry_equiv_pos_as_xyz
'x,y,z'
'-x,-y,z'
'-x,y,z'
'x,-y,z'
'x,y+1/2,z+1/2'
'-x,-y+1/2,z+1/2'
'-x,y+1/2,z+1/2'
'x,-y+1/2,z+1/2'
loop_
_atom_site_label
_atom_site_fract_x
_atom_site_fract_y
_atom_site_fract_z
Rb1 0.000 0.242 0.000
Rb2 0.253 0.000 0.248
C1 0.500 0.000 0.043
O1 0.307 0.000 0.983
O2 0.500 0.159 0.116
```

Properties
- energy above the lowest structure with this stoichiometry (meV/atom) = 404
- VASP energy (eV per atom) = -4.543
- formation energy without anion corrections (eV/atom) = -0.884
- M_tot (μB per formula unit) = 0.146

***

First-principles (GGA-PBE) data for a geometry-optimized Rb3CO3 structure, as listed in Alexandria via LeMat-Bulk.

Cell and atoms, written as CIF:
```
data_Rb3CO3
_chemical_formula_sum 'Rb9 C3 O9'
_symmetry_space_group_name_H-M 'R 3 m'
_symmetry_Int_Tables_number 160
_symmetry_space_group_name_Hall 'R 3 -2"'
_cell_length_a 7.8370
_cell_length_b 7.8370
_cell_length_c 10.2572
_cell_angle_alpha 90.00
_cell_angle_beta 90.00
_cell_angle_gamma 120.00
loop_
_atom_site_label
_atom_site_fract_x
_atom_site_fract_y
_atom_site_fract_z
Rb1 0.1687 0.3374 0.0000
C1 0.0000 0.0000 0.5621
O1 0.0967 0.1933 0.5592
```

Properties
- VASP energy (eV per atom) = -5.196
- formation energy without anion corrections (eV/atom) = -1.339
- M_tot (μB per formula unit) = 0.173

***

First-principles (GGA-PBE) data for a geometry-optimized Rb4CO4 structure, as listed in Alexandria via LeMat-Bulk.

Cell and atoms, written as CIF:
```
data_Rb4CO4
_chemical_formula_sum 'Rb8 C2 O8'
_symmetry_space_group_name_H-M 'I -4 2 m'
_symmetry_Int_Tables_number 121
_symmetry_space_group_name_Hall 'I -4 2'
_cell_length_a 8.896
_cell_length_b 8.896
_cell_length_c 5.662
_cell_angle_alpha 90.00
_cell_angle_beta 90.00
_cell_angle_gamma 90.00
loop_
_atom_site_label
_atom_site_fract_x
_atom_site_fract_y
_atom_site_fract_z
Rb1 0.174 0.174 0.162
C1 0.000 0.000 0.500
O1 0.095 0.095 0.644
```

Properties
- energy above the lowest structure with this stoichiometry (meV/atom) = 29
- VASP energy (eV per atom) = -4.917
- formation energy without anion corrections (eV/atom) = -1.258
- M_tot (μB per formula unit) = 0.084

***

First-principles (GGA-PBE) data for a geometry-optimized Rb2CO structure, as listed in Alexandria via LeMat-Bulk.

Cell and atoms, written as CIF:
```
data_Rb2CO
_chemical_formula_sum 'Rb8 C4 O4'
_symmetry_space_group_name_H-M 'F m -3 m'
_symmetry_Int_Tables_number 225
_symmetry_space_group_name_Hall '-F 4 2 3'
_cell_length_a 7.293
_cell_length_b 7.293
_cell_length_c 7.293
_cell_angle_alpha 90.00
_cell_angle_beta 90.00
_cell_angle_gamma 90.00
loop_
_atom_site_label
_atom_site_fract_x
_atom_site_fract_y
_atom_site_fract_z
Rb1 0.250 0.250 0.250
C1 0.000 0.000 0.000
O1 0.000 0.000 0.500
```

Properties
- energy above the lowest structure with this stoichiometry (meV/atom) = 244
- VASP energy (eV per atom) = -3.125
- formation energy without anion corrections (eV/atom) = 0.905
- M_tot (μB per formula unit) = 2.000

***

First-principles (GGA-PBE) data for a geometry-optimized Rb3CO5 structure, as listed in Alexandria via LeMat-Bulk.

Cell and atoms, written as CIF:
```
data_Rb3CO5
_chemical_formula_sum 'Rb12 C4 O20'
_symmetry_space_group_name_H-M 'I 4/m c m'
_symmetry_Int_Tables_number 140
_symmetry_space_group_name_Hall '-I 4 2c'
_cell_length_a 7.675
_cell_length_b 7.675
_cell_length_c 11.608
_cell_angle_alpha 90.00
_cell_angle_beta 90.00
_cell_angle_gamma 90.00
loop_
_atom_site_label
_atom_site_fract_x
_atom_site_fract_y
_atom_site_fract_z
Rb1 0.000 0.000 0.250
Rb2 0.197 0.303 0.000
C1 0.000 0.500 0.250
O1 0.000 0.000 0.000
O2 0.098 0.402 0.326
```

Properties
- VASP energy (eV per atom) = -5.172
- formation energy without anion corrections (eV/atom) = -1.070
- M_tot (μB per formula unit) = 3.000

***

First-principles (GGA-PBE) data for a geometry-optimized Rb2CO3 structure, as listed in Alexandria via LeMat-Bulk.

Cell and atoms, written as CIF:
```
data_Rb2CO3
_chemical_formula_sum 'Rb8 C4 O12'
_symmetry_space_group_name_H-M 'P n m a'
_symmetry_Int_Tables_number 62
_cell_length_a 7.697
_cell_length_b 6.015
_cell_length_c 10.124
_cell_angle_alpha 90.00
_cell_angle_beta 90.00
_cell_angle_gamma 90.00
loop_
_symmetry_equiv_pos_as_xyz
'x,y,z'
'-x,-y,-z'
'-x+1/2,-y,z+1/2'
'x+1/2,y,-z+1/2'
'x+1/2,-y+1/2,-z+1/2'
'-x+1/2,y+1/2,z+1/2'
'-x,y+1/2,-z'
'x,-y+1/2,z'
loop_
_atom_site_label
_atom_site_fract_x
_atom_site_fract_y
_atom_site_fract_z
Rb1 0.028 0.250 0.224
Rb2 0.179 0.250 0.581
C1 0.242 0.750 0.415
O1 0.184 0.750 0.537
O2 0.232 0.062 0.855
```

Properties
- VASP energy (eV per atom) = -6.076
- formation energy without anion corrections (eV/atom) = -1.737
- M_tot (μB per formula unit) = 0.000